Record 1
{"formula": "TbSmZnPb", "functional": "PBE-GGA", "state": "optimized geometry", "lattice": [[5.302, 0.000, 0.000], [2.651, 4.591, 0.000], [2.651, 1.530, 4.329]], "species": ["Sm", "Tb", "Pb", "Zn"], "frac_coords": [[0.250, 0.250, 0.250], [0.750, 0.750, 0.750], [0.500, 0.500, 0.500], [0.000, 0.000, 0.000]], "dos_at_fermi_per_ev_cell": 3.3, "m_tot_mub_per_cell": 0.0, "e_form_kj_per_mol_fu": -149, "dft_energy_ev_per_atom": -3.970}

Record 2
{"formula": "Sm6Tc2Pb", "functional": "PBE-GGA", "state": "optimized geometry", "lattice": [[-7.524, -2.897, -3.403], [4.566, 4.795, -5.722], [5.375, -6.569, 2.130]], "species": ["Tc", "Tc", "Tc", "Tc", "Sm", "Sm", "Sm", "Sm", "Sm", "Sm", "Sm", "Sm", "Sm", "Sm", "Sm", "Sm", "Pb", "Pb"], "frac_coords": [[0.374, 0.000, 0.374], [0.626, 0.000, 0.626], [0.500, 0.612, 0.112], [0.500, 0.388, 0.888], [0.476, 0.284, 0.193], [0.783, 0.763, 0.546], [0.091, 0.284, 0.807], [0.702, 0.386, 0.684], [0.298, 0.982, 0.684], [0.783, 0.237, 0.020], [0.524, 0.716, 0.807], [0.217, 0.237, 0.454], [0.217, 0.763, 0.980], [0.702, 0.018, 0.316], [0.298, 0.614, 0.316], [0.909, 0.716, 0.193], [0.000, 0.000, 0.000], [0.000, 0.500, 0.500]], "dos_at_fermi_per_ev_cell": 19.1, "m_tot_mub_per_cell": 0.0, "e_form_kj_per_mol_fu": -123, "dft_energy_ev_per_atom": -6.003}